Density functional theory data (PBE) for Mn2TcAs after structural relaxation.

Unit cell a=8.1400 b=8.1400 c=8.1400 alpha=20.08 beta=20.08 gamma=20.08
Last column: nearest neighbours and their distance in Å.
Atoms (fractional coordinates):
Mn: 0.0000 0.0000 0.0000  3 Mn 2.50, 3 Tc 2.62
Mn: 0.2544 0.2544 0.2544  3 Mn 2.50, 3 As 2.59
Tc: 0.7523 0.7523 0.7523  3 As 2.60, 3 Mn 2.62, 6 Tc 2.84
As: 0.5036 0.5036 0.5036  3 Mn 2.59, 3 Tc 2.60, 6 As 2.84

- N(E_F): 0.87 states/eV per atom
- Final energy: -8.14 eV per atom
- Energy of formation: 0.20 eV per atom
- Total magnetization: 0.2 μB/f.u.